No. 1
## CdNiGe2O6 (PBE+U)

Data for an optimized crystal structure of CdNiGe2O6.

a = 5.572 Å, b = 6.853 Å, c = 6.853 Å
α = 82.55°, β = 76.45°, γ = 76.45°
Sites, in units of the cell vectors:
O: 0.519 0.620 0.654
O: 0.656 0.100 0.632
O: 0.367 0.197 0.021
O: 0.844 0.368 0.900
O: 0.133 0.979 0.803
O: 0.633 0.803 0.979
O: 0.481 0.380 0.346
O: 0.981 0.346 0.380
O: 0.019 0.654 0.620
O: 0.344 0.900 0.368
O: 0.867 0.021 0.197
O: 0.156 0.632 0.100
Ge: 0.259 0.384 0.191
Ge: 0.759 0.191 0.384
Ge: 0.241 0.809 0.616
Ge: 0.741 0.616 0.809
Ni: 0.250 0.911 0.089
Ni: 0.750 0.089 0.911
Cd: 0.250 0.291 0.709
Cd: 0.750 0.709 0.291

Summary:
As for the space group: C2/c. The value obtained for the volume is 247 Å³/cell. For the mass density, the calculation gives 5.56 g cm⁻³. The value obtained for the uncorrected energy is -5.69 eV per atom.



No. 2
## Cd2NiGeO5 (PBE+U)

Data for an optimized crystal structure of Cd2NiGeO5.

a = 3.190 Å, b = 6.480 Å, c = 10.853 Å
α = 90.00°, β = 90.00°, γ = 104.25°
Sites, in units of the cell vectors:
O: 0.954 0.908 0.531
O: 0.381 0.762 0.977
O: 0.322 0.645 0.421
O: 0.502 0.004 0.276
O: 0.619 0.238 0.477
O: 0.046 0.092 0.031
O: 0.268 0.535 0.668
O: 0.498 0.996 0.776
O: 0.678 0.355 0.921
O: 0.732 0.465 0.168
Ge: 0.471 0.942 0.439
Ge: 0.529 0.058 0.939
Ni: 0.215 0.429 0.035
Ni: 0.785 0.571 0.535
Cd: 0.832 0.664 0.808
Cd: 0.168 0.336 0.308
Cd: 0.096 0.191 0.668
Cd: 0.904 0.809 0.168

Summary:
As for the space group: Cmc2_1. The value obtained for the volume is 217 Å³/cell. For the mass density, the calculation gives 6.66 g cm⁻³. The value obtained for the uncorrected energy is -4.94 eV per atom.



| no. | spin magnetization (μB/cell) |
| --- | --- |
| 1 | 3.99 |
| 2 | 4.00 |